1.
Here is AlC after structural relaxation from Alexandria. Energies are from PBE.

magnetization	0.00	Bohr magnetons per cell
ΔE to the lowest computed polymorph	135	meV per atom

a = 3.4191 Å, b = 3.4191 Å, c = 7.5739 Å
α = 109.22°, β = 109.22°, γ = 53.39°
Element x y z (fractional)
Al1 0.0000 0.0000 0.0000
Al2 0.5666 0.5666 0.6686
Al3 0.9201 0.9201 0.3116
C1 0.3582 0.3582 0.1099
C2 0.7349 0.7349 0.4920
C3 0.9014 0.9014 0.7066



2.
Here is Al5C after structural relaxation from Alexandria. Energies are from PBE.

magnetization	0.00	Bohr magnetons per cell
ΔE to the lowest computed polymorph	954	meV per atom

a = 5.0983 Å, b = 5.0983 Å, c = 4.6891 Å
α = 90.00°, β = 90.00°, γ = 120.00°
Element x y z (fractional)
Al1 0.0000 0.5000 0.0000
Al2 0.3333 0.6667 0.5000
Al3 0.5000 0.0000 0.0000
Al4 0.5000 0.5000 0.0000
Al5 0.6667 0.3333 0.5000
C1 0.0000 0.0000 0.5000



3.
Here is AlC after structural relaxation from Alexandria. Energies are from PBE.

magnetization	0.00	Bohr magnetons per cell
ΔE to the lowest computed polymorph	1984	meV per atom

a = 4.0268 Å, b = 4.0268 Å, c = 4.0268 Å
α = 60.00°, β = 60.00°, γ = 60.00°
Element x y z (fractional)
Al1 0.1250 0.1250 0.1250
Al2 0.8750 0.8750 0.8750
C1 0.3750 0.3750 0.3750
C2 0.6250 0.6250 0.6250



4.
Here is AlC after structural relaxation from Alexandria. Energies are from PBE.

magnetization	0.00	Bohr magnetons per cell
ΔE to the lowest computed polymorph	761	meV per atom

a = 5.3416 Å, b = 5.3416 Å, c = 5.3416 Å
α = 148.23°, β = 148.23°, γ = 45.55°
Element x y z (fractional)
Al1 0.3750 0.6250 0.7500
Al2 0.6250 0.3750 0.2500
C1 0.1250 0.8750 0.2500
C2 0.8750 0.1250 0.7500



5.
Here is AlC after structural relaxation from Alexandria. Energies are from PBE.

magnetization	0.00	Bohr magnetons per cell
ΔE to the lowest computed polymorph	135	meV per atom

a = 6.2498 Å, b = 6.2498 Å, c = 6.2498 Å
α = 29.31°, β = 29.31°, γ = 29.31°
Element x y z (fractional)
Al1 0.0733 0.0733 0.0733
Al2 0.9267 0.9267 0.9267
C1 0.4621 0.4621 0.4621
C2 0.5379 0.5379 0.5379



6.
Here is AlC4 after structural relaxation from Alexandria. Energies are from PBE.

magnetization	0.00	Bohr magnetons per cell
ΔE to the lowest computed polymorph	1260	meV per atom

a = 4.4728 Å, b = 4.4728 Å, c = 4.4728 Å
α = 135.77°, β = 135.77°, γ = 64.34°
Element x y z (fractional)
Al1 0.0000 0.0000 0.0000
C1 0.2500 0.7500 0.5000
C2 0.2694 0.2694 0.0000
C3 0.7306 0.7306 0.0000
C4 0.7500 0.2500 0.5000



7.
Here is AlC after structural relaxation from Alexandria. Energies are from PBE.

magnetization	0.00	Bohr magnetons per cell
ΔE to the lowest computed polymorph	53	meV per atom

a = 3.2742 Å, b = 7.9691 Å, c = 5.6622 Å
α = 90.00°, β = 90.00°, γ = 90.00°
Element x y z (fractional)
Al1 0.2500 0.0807 0.1603
Al2 0.2500 0.4193 0.1603
Al3 0.2500 0.7500 0.4110
Al4 0.7500 0.2500 0.5890
Al5 0.7500 0.5807 0.8397
Al6 0.7500 0.9193 0.8397
C1 0.2500 0.2500 0.4114
C2 0.2500 0.6589 0.0635
C3 0.2500 0.8411 0.0635
C4 0.7500 0.1589 0.9365
C5 0.7500 0.3411 0.9365
C6 0.7500 0.7500 0.5886



8.
Here is AlC after structural relaxation from Alexandria. Energies are from PBE.

magnetization	0.00	Bohr magnetons per cell
ΔE to the lowest computed polymorph	775	meV per atom

a = 4.1645 Å, b = 4.1645 Å, c = 4.1708 Å
α = 90.00°, β = 90.00°, γ = 90.00°
Element x y z (fractional)
Al1 0.0000 0.0000 0.0000
Al2 0.0000 0.5000 0.5000
Al3 0.5000 0.0000 0.5000
C1 0.0000 0.0000 0.5000
C2 0.0000 0.5000 0.0000
C3 0.5000 0.0000 0.0000



9.
Here is AlC after structural relaxation from Alexandria. Energies are from PBE.

magnetization	0.00	Bohr magnetons per cell
ΔE to the lowest computed polymorph	247	meV per atom

a = 4.6834 Å, b = 3.1527 Å, c = 5.7362 Å
α = 90.00°, β = 90.00°, γ = 90.00°
Element x y z (fractional)
Al1 0.1845 0.2500 0.1282
Al2 0.3155 0.7500 0.6282
Al3 0.6845 0.2500 0.3718
Al4 0.8155 0.7500 0.8718
C1 0.1098 0.2500 0.7758
C2 0.3902 0.7500 0.2758
C3 0.6098 0.2500 0.7242
C4 0.8902 0.7500 0.2242



10.
Here is AlC after structural relaxation from Alexandria. Energies are from PBE.

magnetization	0.00	Bohr magnetons per cell
ΔE to the lowest computed polymorph	460	meV per atom

a = 3.0957 Å, b = 3.0957 Å, c = 2.4472 Å
α = 90.00°, β = 90.00°, γ = 120.00°
Element x y z (fractional)
Al1 0.0000 0.0000 0.0000
C1 0.6667 0.3333 0.5000



11.
Here is AlC3 after structural relaxation from Alexandria. Energies are from PBE.

magnetization	0.00	Bohr magnetons per cell
ΔE to the lowest computed polymorph	72	meV per atom

a = 5.7653 Å, b = 5.3976 Å, c = 5.8320 Å
α = 90.00°, β = 90.00°, γ = 90.00°
Element x y z (fractional)
Al1 0.1160 0.2500 0.1626
Al2 0.3840 0.7500 0.6626
Al3 0.6160 0.2500 0.3374
Al4 0.8840 0.7500 0.8374
C1 0.1401 0.0079 0.7714
C2 0.1401 0.4921 0.7714
C3 0.1416 0.2500 0.7657
C4 0.3584 0.7500 0.2657
C5 0.3599 0.5079 0.2714
C6 0.3599 0.9921 0.2714
C7 0.6401 0.0079 0.7286
C8 0.6401 0.4921 0.7286
C9 0.6416 0.2500 0.7343
C10 0.8584 0.7500 0.2343
C11 0.8599 0.5079 0.2286
C12 0.8599 0.9921 0.2286



12.
Here is AlC after structural relaxation from Alexandria. Energies are from PBE.

magnetization	0.00	Bohr magnetons per cell
ΔE to the lowest computed polymorph	330	meV per atom

a = 2.8753 Å, b = 2.8753 Å, c = 5.4264 Å
α = 90.00°, β = 90.00°, γ = 120.00°
Element x y z (fractional)
Al1 0.0000 0.0000 0.0000
Al2 0.0000 0.0000 0.5000
C1 0.3333 0.6667 0.2500
C2 0.6667 0.3333 0.7500



13.
Here is AlC after structural relaxation from Alexandria. Energies are from PBE.

magnetization	0.00	Bohr magnetons per cell
ΔE to the lowest computed polymorph	255	meV per atom

a = 3.4291 Å, b = 3.4291 Å, c = 4.0196 Å
α = 100.03°, β = 100.03°, γ = 100.48°
Element x y z (fractional)
Al1 0.0000 0.0000 0.0000
Al2 0.5821 0.4179 0.5000
C1 0.0736 0.5934 0.3163
C2 0.4066 0.9264 0.6837



14.
Here is AlC4 after structural relaxation from Alexandria. Energies are from PBE.

magnetization	0.00	Bohr magnetons per cell
ΔE to the lowest computed polymorph	1916	meV per atom

a = 3.8945 Å, b = 3.8945 Å, c = 3.8945 Å
α = 109.47°, β = 109.47°, γ = 109.47°
Element x y z (fractional)
Al1 0.0000 0.0000 0.0000
C1 0.0000 0.0000 0.5000
C2 0.0000 0.5000 0.0000
C3 0.5000 0.0000 0.0000
C4 0.5000 0.5000 0.5000



15.
Here is AlC after structural relaxation from Alexandria. Energies are from PBE.

magnetization	0.00	Bohr magnetons per cell
ΔE to the lowest computed polymorph	7	meV per atom

a = 5.2099 Å, b = 5.2099 Å, c = 3.4327 Å
α = 90.00°, β = 90.00°, γ = 90.00°
Element x y z (fractional)
Al1 0.2503 0.2503 0.0000
Al2 0.2497 0.7503 0.5000
Al3 0.7503 0.2497 0.5000
Al4 0.7497 0.7497 0.0000
C1 0.1157 0.1157 0.5000
C2 0.3843 0.6157 0.0000
C3 0.6157 0.3843 0.0000
C4 0.8843 0.8843 0.5000



16.
Here is AlC3 after structural relaxation from Alexandria. Energies are from PBE.

magnetization	0.00	Bohr magnetons per cell
ΔE to the lowest computed polymorph	879	meV per atom

a = 4.1963 Å, b = 4.1963 Å, c = 5.6473 Å
α = 90.00°, β = 90.00°, γ = 120.00°
Element x y z (fractional)
Al1 0.3333 0.6667 0.2500
Al2 0.6667 0.3333 0.7500
C1 0.1156 0.2312 0.7500
C2 0.1156 0.8844 0.7500
C3 0.2312 0.1156 0.2500
C4 0.7688 0.8844 0.7500
C5 0.8844 0.1156 0.2500
C6 0.8844 0.7688 0.2500



17.
Here is Al5C after structural relaxation from Alexandria. Energies are from PBE.

magnetization	0.00	Bohr magnetons per cell
ΔE to the lowest computed polymorph	191	meV per atom

a = 2.7629 Å, b = 2.7629 Å, c = 11.1249 Å
α = 90.00°, β = 90.00°, γ = 90.00°
Element x y z (fractional)
Al1 0.0000 0.0000 0.0000
Al2 0.0000 0.0000 0.3856
Al3 0.0000 0.0000 0.6144
Al4 0.5000 0.5000 0.1941
Al5 0.5000 0.5000 0.8059
C1 0.5000 0.5000 0.5000



18.
Here is AlC after structural relaxation from Alexandria. Energies are from PBE.

magnetization	0.00	Bohr magnetons per cell
ΔE to the lowest computed polymorph	263	meV per atom

a = 3.0172 Å, b = 3.0172 Å, c = 3.0172 Å
α = 60.00°, β = 60.00°, γ = 60.00°
Element x y z (fractional)
Al1 0.0000 0.0000 0.0000
C1 0.5000 0.5000 0.5000



19.
Here is Al3C2 after structural relaxation from Alexandria. Energies are from PBE.

magnetization	0.00	Bohr magnetons per cell
ΔE to the lowest computed polymorph	57	meV per atom

a = 3.1415 Å, b = 3.1415 Å, c = 6.8075 Å
α = 90.00°, β = 90.00°, γ = 120.00°
Element x y z (fractional)
Al1 0.0000 0.0000 0.0000
Al2 0.3333 0.6667 0.3105
Al3 0.6667 0.3333 0.6895
C1 0.3333 0.6667 0.8170
C2 0.6667 0.3333 0.1830



20.
Here is Al4C after structural relaxation from Alexandria. Energies are from PBE.

magnetization	0.00	Bohr magnetons per cell

a = 5.1501 Å, b = 5.1501 Å, c = 5.1501 Å
α = 94.12°, β = 94.12°, γ = 148.90°
Element x y z (fractional)
Al1 0.0663 0.7441 0.8104
Al2 0.2559 0.0663 0.3223
Al3 0.7441 0.9337 0.6777
Al4 0.9337 0.2559 0.1896
C1 0.5000 0.5000 0.0000



21.
Here is AlC3 after structural relaxation from Alexandria. Energies are from PBE.

magnetization	0.00	Bohr magnetons per cell
ΔE to the lowest computed polymorph	291	meV per atom

a = 4.1240 Å, b = 4.1240 Å, c = 3.4073 Å
α = 114.20°, β = 114.20°, γ = 90.36°
Element x y z (fractional)
Al1 0.0000 0.0000 0.0000
C1 0.0505 0.4992 0.7723
C2 0.2951 0.2951 0.7931
C3 0.4992 0.0505 0.7723



22.
Here is AlC after structural relaxation from Alexandria. Energies are from PBE.

magnetization	0.00	Bohr magnetons per cell
ΔE to the lowest computed polymorph	402	meV per atom

a = 3.2930 Å, b = 3.2930 Å, c = 3.2930 Å
α = 60.00°, β = 60.00°, γ = 60.00°
Element x y z (fractional)
Al1 0.0000 0.0000 0.0000
C1 0.7500 0.7500 0.7500



23.
Here is Al5C3 after structural relaxation from Alexandria. Energies are from PBE.

magnetization	0.00	Bohr magnetons per cell
ΔE to the lowest computed polymorph	676	meV per atom

a = 2.7101 Å, b = 2.7101 Å, c = 12.3418 Å
α = 90.00°, β = 90.00°, γ = 90.00°
Element x y z (fractional)
Al1 0.0000 0.0000 0.0000
Al2 0.0000 0.0000 0.2117
Al3 0.0000 0.0000 0.7883
Al4 0.5000 0.5000 0.3925
Al5 0.5000 0.5000 0.6075
C1 0.0000 0.0000 0.5000
C2 0.5000 0.5000 0.1139
C3 0.5000 0.5000 0.8861



24.
Here is Al5C3 after structural relaxation from Alexandria. Energies are from PBE.

magnetization	0.00	Bohr magnetons per cell
ΔE to the lowest computed polymorph	0	meV per atom

a = 6.5810 Å, b = 6.5810 Å, c = 5.6388 Å
α = 99.75°, β = 99.75°, γ = 115.71°
Element x y z (fractional)
Al1 0.0000 0.0000 0.0000
Al2 0.1776 0.4812 0.2812
Al3 0.1971 0.9350 0.5615
Al4 0.3693 0.3693 0.8675
Al5 0.4812 0.1776 0.2812
Al6 0.5418 0.7765 0.6874
Al7 0.5780 0.8139 0.1587
Al8 0.7765 0.5418 0.6874
Al9 0.8139 0.5780 0.1587
Al10 0.9350 0.1971 0.5615
C1 0.0477 0.3085 0.9243
C2 0.3085 0.0477 0.9243
C3 0.4067 0.8610 0.3997
C4 0.4113 0.4113 0.5177
C5 0.8610 0.4067 0.3997
C6 0.9208 0.9208 0.3286



25.
Here is AlC after structural relaxation from Alexandria. Energies are from PBE.

magnetization	0.00	Bohr magnetons per cell
ΔE to the lowest computed polymorph	258	meV per atom

a = 3.4784 Å, b = 3.4784 Å, c = 4.4310 Å
α = 90.00°, β = 90.00°, γ = 120.00°
Element x y z (fractional)
Al1 0.3333 0.6667 0.2500
Al2 0.6667 0.3333 0.7500
C1 0.3333 0.6667 0.7500
C2 0.6667 0.3333 0.2500



26.
Here is AlC after structural relaxation from Alexandria. Energies are from PBE.

magnetization	0.00	Bohr magnetons per cell
ΔE to the lowest computed polymorph	125	meV per atom

a = 3.1132 Å, b = 3.1132 Å, c = 5.8304 Å
α = 90.50°, β = 90.50°, γ = 59.48°
Element x y z (fractional)
Al1 0.1654 0.1654 0.2050
Al2 0.8346 0.8346 0.7950
C1 0.4981 0.4981 0.3846
C2 0.5019 0.5019 0.6154



Number 1: VASP energy -0.2250 hartree per atom, ΔE_f 360 meV/atom. Number 2: VASP energy -0.1287 hartree per atom, ΔE_f 1155 meV/atom. Number 3: VASP energy -0.1571 hartree per atom, ΔE_f 2209 meV/atom. Number 4: VASP energy -0.2020 hartree per atom, ΔE_f 986 meV/atom. Number 5: VASP energy -0.2250 hartree per atom, ΔE_f 360 meV/atom. Number 6: VASP energy -0.2197 hartree per atom, ΔE_f 2150 meV/atom. Number 7: VASP energy -0.2281 hartree per atom, ΔE_f 278 meV/atom. Number 8: VASP energy -0.2015 hartree per atom, ΔE_f 1000 meV/atom. Number 9: VASP energy -0.2209 hartree per atom, ΔE_f 472 meV/atom. Number 10: VASP energy -0.2131 hartree per atom, ΔE_f 685 meV/atom. Number 11: VASP energy -0.2573 hartree per atom, ΔE_f 852 meV/atom. Number 12: VASP energy -0.2179 hartree per atom, ΔE_f 555 meV/atom. Number 13: VASP energy -0.2206 hartree per atom, ΔE_f 480 meV/atom. Number 14: VASP energy -0.1956 hartree per atom, ΔE_f 2806 meV/atom. Number 15: VASP energy -0.2297 hartree per atom, ΔE_f 232 meV/atom. Number 16: VASP energy -0.2276 hartree per atom, ΔE_f 1660 meV/atom. Number 17: VASP energy -0.1567 hartree per atom, ΔE_f 393 meV/atom. Number 18: VASP energy -0.2203 hartree per atom, ΔE_f 487 meV/atom. Number 19: VASP energy -0.2104 hartree per atom, ΔE_f 211 meV/atom. Number 20: VASP energy -0.1626 hartree per atom, ΔE_f 413 meV/atom. Number 21: VASP energy -0.2492 hartree per atom, ΔE_f 1072 meV/atom. Number 22: VASP energy -0.2152 hartree per atom, ΔE_f 627 meV/atom. Number 23: VASP energy -0.1794 hartree per atom, ΔE_f 916 meV/atom. Number 24: VASP energy -0.2043 hartree per atom, ΔE_f 240 meV/atom. Number 25: VASP energy -0.2205 hartree per atom, ΔE_f 483 meV/atom. Number 26: VASP energy -0.2254 hartree per atom, ΔE_f 350 meV/atom.